IrPt5Rh6: relaxed, PBE.

Cell lengths 3.891, 7.292, 7.292 Å; angles 106.54, 105.45, 105.45 degrees
Fractional positions:
Ir 0.000 0.000 0.000
Rh 0.248 0.083 0.414
Rh 0.752 0.586 0.917
Rh 0.746 0.246 0.246
Rh 0.254 0.754 0.754
Rh 0.248 0.414 0.083
Rh 0.752 0.917 0.586
Pt 0.500 0.165 0.835
Pt 0.000 0.334 0.666
Pt 0.500 0.500 0.500
Pt 0.000 0.666 0.334
Pt 0.500 0.835 0.165

Calculated values
density of states at the Fermi level	20.668	states/eV/cell
magnetization	0.0	μB/cell
crystal system	orthorhombic
energy of formation	-17.3	meV per atom